DFT (PBE) results for a relaxed structure of Tb3SmTe3.

- Energy relative to the elements, uncorrected: -1.05 eV per atom
- Calculated density: 7.9 g/cm3
- Crystal system: trigonal
- Spin magnetization: 0.0 μB per cell

Cell: 9.075 9.075 7.916 Å, 55.03 55.03 60.00°
Element x y z (fractional)
Te  0.540  0.317  0.244
Te  0.683  0.102  0.756
Te  0.898  0.540  0.244
Te  0.102  0.460  0.756
Te  0.317  0.898  0.244
Te  0.460  0.683  0.756
Tb  0.335  0.078  0.744
Tb  0.156  0.665  0.256
Tb  0.665  0.922  0.256
Tb  0.922  0.156  0.256
Tb  0.844  0.335  0.744
Tb  0.078  0.844  0.744
Sm  0.312  0.312  0.064
Sm  0.688  0.688  0.936

---

DFT (PBE) results for a relaxed structure of TbSm5Te4.

- Energy relative to the elements, uncorrected: -0.98 eV per atom
- Calculated density: 7.1 g/cm3
- Crystal system: monoclinic
- Spin magnetization: 0.0 μB per cell

Cell: 4.256 8.611 9.527 Å, 101.83 102.91 90.00°
Element x y z (fractional)
Sm  0.185  0.357  0.370
Sm  0.500  0.500  0.000
Sm  0.165  0.801  0.330
Sm  0.835  0.199  0.670
Sm  0.815  0.643  0.630
Te  0.334  0.927  0.667
Te  0.010  0.252  0.019
Te  0.990  0.748  0.981
Te  0.666  0.073  0.333
Tb  0.500  0.000  0.000

---

Please write out number 2 again, unchanged.
DFT (PBE) results for a relaxed structure of TbSm5Te4.

- Energy relative to the elements, uncorrected: -0.98 eV per atom
- Calculated density: 7.1 g/cm3
- Crystal system: monoclinic
- Spin magnetization: 0.0 μB per cell

Cell: 4.256 8.611 9.527 Å, 101.83 102.91 90.00°
Element x y z (fractional)
Sm  0.185  0.357  0.370
Sm  0.500  0.500  0.000
Sm  0.165  0.801  0.330
Sm  0.835  0.199  0.670
Sm  0.815  0.643  0.630
Te  0.334  0.927  0.667
Te  0.010  0.252  0.019
Te  0.990  0.748  0.981
Te  0.666  0.073  0.333
Tb  0.500  0.000  0.000

---

Repeat the first record exactly.
DFT (PBE) results for a relaxed structure of Tb3SmTe3.

- Energy relative to the elements, uncorrected: -1.05 eV per atom
- Calculated density: 7.9 g/cm3
- Crystal system: trigonal
- Spin magnetization: 0.0 μB per cell

Cell: 9.075 9.075 7.916 Å, 55.03 55.03 60.00°
Element x y z (fractional)
Te  0.540  0.317  0.244
Te  0.683  0.102  0.756
Te  0.898  0.540  0.244
Te  0.102  0.460  0.756
Te  0.317  0.898  0.244
Te  0.460  0.683  0.756
Tb  0.335  0.078  0.744
Tb  0.156  0.665  0.256
Tb  0.665  0.922  0.256
Tb  0.922  0.156  0.256
Tb  0.844  0.335  0.744
Tb  0.078  0.844  0.744
Sm  0.312  0.312  0.064
Sm  0.688  0.688  0.936

---

Question: Among the records above, which one has the highest energy relative to the elements, uncorrected?
Answer: TbSm5Te4